Computed, not measured: an optimized crystal structure of HgSb2Pt at the PBE-GGA level of DFT.

abc: 3.941 4.039 6.262
angles: 71.21 90.00 90.00
Sites, in units of the cell vectors:
Sb 0.500 0.293 0.283
Sb 0.000 0.985 0.911
Hg 0.000 0.696 0.469
Pt 0.500 0.526 0.838

Properties
- Total magnetic moment: 0.0000 μB per atom
- Crystal system: monoclinic
- Formation energy without anion corrections: -0.0151 eV per atom
- Total DFT energy (no corrections): -3.6619 eV per atom